Crystalline Y3SiC at its relaxed geometry. Source: Alexandria via LeMat-Bulk, functional PBE.

```
Y3SiC
1.0
7.4900 0.0000 0.0000
0.0000 6.3898 0.0000
-1.3450 0.0000 9.4423
Y Si C
12 4 4
direct
0.0641 0.0621 0.1712 Y
0.0641 0.4379 0.6712 Y
0.2088 0.5715 0.0601 Y
0.2088 0.9285 0.5601 Y
0.3802 0.1793 0.8942 Y
0.3802 0.3207 0.3942 Y
0.6198 0.6793 0.6058 Y
0.6198 0.8207 0.1058 Y
0.7912 0.0715 0.4399 Y
0.7912 0.4285 0.9399 Y
0.9359 0.5621 0.3288 Y
0.9359 0.9379 0.8288 Y
0.3766 0.7156 0.8303 Si
0.3766 0.7844 0.3303 Si
0.6234 0.2156 0.6697 Si
0.6234 0.2844 0.1697 Si
0.0773 0.2492 0.4384 C
0.0773 0.2508 0.9384 C
0.9227 0.7492 0.0616 C
0.9227 0.7508 0.5616 C
```

## Properties
calculated density = 4.51 Mg/m³
E_form (uncorrected) = -395 meV per atom
size of the total moment = 0.1740 μB per atom